TmHgBi | PBE | optimized geometry

Output
ΔE_f = -322 meV/atom
SG = I4mm, No. 107
DOS(E_F) = 0.56 states/eV/atom

Cell: 5.573 5.573 5.573 Å, 135.30 135.30 65.06°
Sites, in units of the cell vectors:
Tm 0.000 0.000 0.000
Hg 0.677 0.677 0.000
Bi 0.348 0.348 0.000



Li3YMo | PBE | optimized geometry

Output
ΔE_f = 1713 meV/atom
SG = Pm-3m, No. 221
DOS(E_F) = 0.03 states/eV/atom

Cell: 4.522 4.522 4.522 Å, 90.00 90.00 90.00°
Sites, in units of the cell vectors:
Li 0.000 0.000 0.500
Li 0.000 0.500 0.000
Li 0.500 0.000 0.000
Y 0.000 0.000 0.000
Mo 0.500 0.500 0.500



RbCrIn2Cl6 | PBE | optimized geometry

Output
SG = P2_1/c, No. 14
Formation energy from raw total energies = -1.17 eV/atom

Cell: 6.905 8.382 12.440 Å, 90.00 121.42 90.00°
Sites, in units of the cell vectors:
Rb 0.000 0.000 0.000
Rb 0.000 0.500 0.500
Cr 0.500 0.000 0.500
Cr 0.500 0.500 0.000
In 0.202 0.053 0.726
In 0.202 0.447 0.226
In 0.798 0.553 0.774
In 0.798 0.947 0.274
Cl 0.193 0.148 0.485
Cl 0.193 0.352 0.985
Cl 0.262 0.728 0.916
Cl 0.262 0.772 0.416
Cl 0.394 0.083 0.294
Cl 0.394 0.417 0.794
Cl 0.606 0.583 0.206
Cl 0.606 0.917 0.706
Cl 0.738 0.228 0.584
Cl 0.738 0.272 0.084
Cl 0.807 0.648 0.015
Cl 0.807 0.852 0.515



MgSc2C | PBE | optimized geometry

Output
ΔE_f = -89 meV/atom
SG = P-6m2, No. 187
DOS(E_F) = 0.77 states/eV/atom

Cell: 3.287 3.287 8.261 Å, 90.00 90.00 120.00°
Sites, in units of the cell vectors:
Mg 0.000 0.000 0.000
Sc 0.667 0.333 0.339
Sc 0.667 0.333 0.661
C 0.333 0.667 0.500



BaCr2P | PBE | optimized geometry

Output
ΔE_f = 321 meV/atom
SG = I4_1/amd, No. 141
DOS(E_F) = 1.01 states/eV/atom

Cell: 9.015 9.015 9.015 Å, 149.21 149.21 44.11°
Sites, in units of the cell vectors:
Ba 0.375 0.625 0.750
Ba 0.625 0.375 0.250
Cr 0.000 0.000 0.000
Cr 0.000 0.000 0.500
Cr 0.000 0.500 0.000
Cr 0.500 0.000 0.500
P 0.125 0.875 0.250
P 0.875 0.125 0.750



Sc5SiSe4 | PBE | optimized geometry

Output
SG = I4/m, No. 87
Formation energy from raw total energies = -1.48 eV/atom
DOS(E_F) = 0.55 states/eV/atom

Cell: 6.722 6.722 6.722 Å, 99.46 99.46 132.18°
Sites, in units of the cell vectors:
Sc 0.000 0.000 0.000
Sc 0.214 0.595 0.809
Sc 0.405 0.214 0.619
Sc 0.595 0.786 0.381
Sc 0.786 0.405 0.191
Si 0.500 0.500 0.000
Se 0.097 0.302 0.399
Se 0.302 0.903 0.206
Se 0.698 0.097 0.794
Se 0.903 0.698 0.601



CaEr2Pu | PBE | optimized geometry

Output
ΔE_f = 155 meV/atom
SG = R3m, No. 160
DOS(E_F) = 3.11 states/eV/atom

Cell: 11.889 11.889 11.889 Å, 17.13 17.13 17.13°
Sites, in units of the cell vectors:
Ca 0.000 0.000 0.000
Er 0.577 0.577 0.577
Er 0.755 0.755 0.755
Pu 0.166 0.166 0.166



LaFe3S | PBE | optimized geometry

Output
SG = Pm-3m, No. 221
Formation energy from raw total energies = 1.77 eV/atom
DOS(E_F) = 1.65 states/eV/atom

Cell: 4.619 4.619 4.619 Å, 90.00 90.00 90.00°
Sites, in units of the cell vectors:
La 0.000 0.000 0.000
Fe 0.000 0.000 0.500
Fe 0.000 0.500 0.000
Fe 0.500 0.000 0.000
S 0.500 0.500 0.500



CaHoNi2As2 | PBE | optimized geometry

Output
ΔE_f = -950 meV/atom
SG = P-3m1, No. 164
DOS(E_F) = 0.65 states/eV/atom

Cell: 4.041 4.041 8.029 Å, 90.00 90.00 120.00°
Sites, in units of the cell vectors:
Ca 0.000 0.000 0.000
Ho 0.000 0.000 0.500
Ni 0.333 0.667 0.734
Ni 0.667 0.333 0.266
As 0.333 0.667 0.258
As 0.667 0.333 0.742



ReTc | PBE | optimized geometry

Output
ΔE_f = 294 meV/atom
SG = Pm-3m, No. 221
DOS(E_F) = 1.47 states/eV/atom

Cell: 3.102 3.102 3.102 Å, 90.00 90.00 90.00°
Sites, in units of the cell vectors:
Re 0.000 0.000 0.000
Tc 0.500 0.500 0.500



Tb2ZrSc | PBE | optimized geometry

Output
ΔE_f = 186 meV/atom
SG = Fm-3m, No. 225
DOS(E_F) = 1.74 states/eV/atom

Cell: 5.377 5.377 5.377 Å, 60.00 60.00 60.00°
Sites, in units of the cell vectors:
Tb 0.250 0.250 0.250
Tb 0.750 0.750 0.750
Zr 0.000 0.000 0.000
Sc 0.500 0.500 0.500



CeAl2ZnPt4 | PBE | optimized geometry

Output
ΔE_f = -955 meV/atom
SG = R-3m, No. 166
DOS(E_F) = 0.44 states/eV/atom

Cell: 9.086 9.086 9.086 Å, 27.25 27.25 27.25°
Sites, in units of the cell vectors:
Ce 0.000 0.000 0.000
Al 0.239 0.239 0.239
Al 0.761 0.761 0.761
Zn 0.500 0.500 0.500
Pt 0.133 0.133 0.133
Pt 0.401 0.401 0.401
Pt 0.599 0.599 0.599
Pt 0.867 0.867 0.867



LaMgOs2 | PBE | optimized geometry

Output
ΔE_f = 473 meV/atom
SG = C2/m, No. 12
DOS(E_F) = 0.78 states/eV/atom

Cell: 5.491 5.491 2.934 Å, 103.74 103.74 113.45°
Sites, in units of the cell vectors:
La 0.000 0.000 0.000
Mg 0.500 0.500 0.000
Os 0.000 0.500 0.500
Os 0.500 0.000 0.500



IrPdO2F | PBE | optimized geometry

Output
SG = P4/mmm, No. 123
Formation energy from raw total energies = 0.64 eV/atom
DOS(E_F) = 1.11 states/eV/atom

Cell: 4.026 4.026 4.048 Å, 90.00 90.00 90.00°
Sites, in units of the cell vectors:
Ir 0.000 0.000 0.000
Pd 0.500 0.500 0.500
O 0.000 0.500 0.500
O 0.500 0.000 0.500
F 0.500 0.500 0.000



NaGa11Rh | PBE | optimized geometry

Output
ΔE_f = -110 meV/atom
SG = C2/m, No. 12
DOS(E_F) = 0.38 states/eV/atom

Cell: 6.868 6.868 7.672 Å, 96.40 96.40 135.30°
Sites, in units of the cell vectors:
Na 0.000 0.000 0.000
Ga 0.000 0.000 0.500
Ga 0.000 0.500 0.000
Ga 0.026 0.374 0.365
Ga 0.276 0.490 0.774
Ga 0.374 0.026 0.365
Ga 0.490 0.276 0.774
Ga 0.500 0.000 0.000
Ga 0.510 0.724 0.226
Ga 0.626 0.974 0.635
Ga 0.724 0.510 0.226
Ga 0.974 0.626 0.635
Rh 0.500 0.500 0.500



Tl12CdHg6 | PBE | optimized geometry

Output
ΔE_f = 23 meV/atom
SG = R-3, No. 148
DOS(E_F) = 0.53 states/eV/atom

Cell: 9.027 9.027 9.027 Å, 110.00 110.00 110.00°
Sites, in units of the cell vectors:
Tl 0.033 0.168 0.302
Tl 0.168 0.302 0.033
Tl 0.233 0.657 0.603
Tl 0.302 0.033 0.168
Tl 0.343 0.397 0.767
Tl 0.397 0.767 0.343
Tl 0.603 0.233 0.657
Tl 0.657 0.603 0.233
Tl 0.698 0.967 0.832
Tl 0.767 0.343 0.397
Tl 0.832 0.698 0.967
Tl 0.967 0.832 0.698
Cd 0.500 0.500 0.500
Hg 0.092 0.564 0.869
Hg 0.131 0.908 0.436
Hg 0.436 0.131 0.908
Hg 0.564 0.869 0.092
Hg 0.869 0.092 0.564
Hg 0.908 0.436 0.131



HfZn11Fe | PBE | optimized geometry

Output
ΔE_f = -49 meV/atom
SG = C2/m, No. 12
DOS(E_F) = 0.56 states/eV/atom

Cell: 6.692 6.692 6.570 Å, 98.40 98.40 134.71°
Sites, in units of the cell vectors:
Hf 0.000 0.000 0.000
Zn 0.000 0.500 0.000
Zn 0.011 0.670 0.647
Zn 0.283 0.494 0.786
Zn 0.330 0.989 0.353
Zn 0.494 0.283 0.786
Zn 0.500 0.000 0.000
Zn 0.500 0.500 0.500
Zn 0.506 0.717 0.214
Zn 0.670 0.011 0.647
Zn 0.717 0.506 0.214
Zn 0.989 0.330 0.353
Fe 0.000 0.000 0.500



K2Ta2CrS6 | PBE | optimized geometry

Output
SG = C2/m, No. 12
Formation energy from raw total energies = -1.04 eV/atom
DOS(E_F) = 0.17 states/eV/atom

Cell: 6.060 6.060 7.905 Å, 96.50 96.50 120.45°
Sites, in units of the cell vectors:
K 0.177 0.823 0.000
K 0.823 0.177 0.000
Ta 0.361 0.639 0.500
Ta 0.639 0.361 0.500
Cr 0.000 0.000 0.500
S 0.048 0.381 0.677
S 0.251 0.251 0.294
S 0.381 0.048 0.677
S 0.619 0.952 0.323
S 0.749 0.749 0.706
S 0.952 0.619 0.323



Ba2BeTePd | PBE | optimized geometry

Output
SG = P4/mmm, No. 123
Formation energy from raw total energies = -0.64 eV/atom
DOS(E_F) = 0.41 states/eV/atom

Cell: 6.128 6.128 4.434 Å, 90.00 90.00 90.00°
Sites, in units of the cell vectors:
Ba 0.000 0.500 0.000
Ba 0.500 0.000 0.000
Be 0.000 0.000 0.500
Te 0.500 0.500 0.500
Pd 0.000 0.000 0.000



Cu2AsIr | PBE | optimized geometry

Output
ΔE_f = 237 meV/atom
SG = R-3m, No. 166
DOS(E_F) = 1.09 states/eV/atom

Cell: 8.362 8.362 8.362 Å, 19.49 19.49 19.49°
Sites, in units of the cell vectors:
Cu 0.249 0.249 0.249
Cu 0.751 0.751 0.751
As 0.500 0.500 0.500
Ir 0.000 0.000 0.000



HfBe6Nb2 | PBE | optimized geometry

Output
ΔE_f = -191 meV/atom
SG = P6/mmm, No. 191
DOS(E_F) = 0.32 states/eV/atom

Cell: 6.420 6.420 3.062 Å, 90.00 90.00 120.00°
Sites, in units of the cell vectors:
Hf 0.000 0.000 0.000
Be 0.000 0.337 0.500
Be 0.000 0.663 0.500
Be 0.337 0.000 0.500
Be 0.337 0.337 0.500
Be 0.663 0.000 0.500
Be 0.663 0.663 0.500
Nb 0.333 0.667 0.000
Nb 0.667 0.333 0.000



CaZnIr | PBE | optimized geometry

Output
ΔE_f = -275 meV/atom
SG = P-6m2, No. 187
DOS(E_F) = 0.54 states/eV/atom

Cell: 4.380 4.380 3.612 Å, 90.00 90.00 120.00°
Sites, in units of the cell vectors:
Ca 0.000 0.000 0.000
Zn 0.333 0.667 0.500
Ir 0.667 0.333 0.500



Sr6SnGe2 | PBE | optimized geometry

Output
ΔE_f = -500 meV/atom
SG = Immm, No. 71
DOS(E_F) = 0.27 states/eV/atom

Cell: 9.502 9.502 9.502 Å, 112.82 110.73 104.97°
Sites, in units of the cell vectors:
Sr 0.047 0.243 0.804
Sr 0.180 0.281 0.460
Sr 0.180 0.719 0.899
Sr 0.332 0.019 0.687
Sr 0.332 0.646 0.313
Sr 0.439 0.243 0.196
Sr 0.561 0.757 0.804
Sr 0.668 0.354 0.687
Sr 0.668 0.981 0.313
Sr 0.820 0.281 0.101
Sr 0.820 0.719 0.540
Sr 0.953 0.757 0.196
Sn 0.000 0.000 0.000
Sn 0.500 0.500 0.000
Ge 0.115 0.615 0.500
Ge 0.337 0.000 0.337
Ge 0.663 0.000 0.663
Ge 0.885 0.385 0.500



La3ZnN | PBE | optimized geometry

Output
SG = Cmcm, No. 63
Formation energy from raw total energies = -0.31 eV/atom
DOS(E_F) = 1.23 states/eV/atom

Cell: 6.831 6.831 7.763 Å, 90.00 90.00 119.20°
Sites, in units of the cell vectors:
La 0.000 0.000 0.000
La 0.000 0.000 0.500
La 0.032 0.495 0.750
La 0.495 0.032 0.250
La 0.505 0.968 0.750
La 0.968 0.505 0.250
Zn 0.472 0.528 0.250
Zn 0.528 0.472 0.750
N 0.122 0.878 0.250
N 0.878 0.122 0.750